Record 1
First-principles (PBE) data for Rb3BiCl7 after structural relaxation, as listed in Alexandria via LeMat-Bulk.

```
11
Lattice="5.830 -5.475 0.000 5.830 5.475 0.000 -5.533 0.000 6.207" Properties=species:S:1:pos:R:3 pbc="T T T"
Rb 0.000 0.000 0.000
Rb 3.308 2.497 2.751
Rb 3.308 -2.497 2.751
Bi 0.244 0.000 5.481
Cl 0.419 2.703 4.505
Cl -1.125 0.000 3.042
Cl 3.270 0.000 0.391
Cl 6.294 1.931 1.278
Cl 2.932 0.000 4.899
Cl 0.419 -2.703 4.505
Cl 6.294 -1.931 1.278
```

Computed properties:
Its formation energy (no corrections) is -1.384 eV/atom.

=====

Record 2
First-principles (PBE) data for NaY3Te after structural relaxation, as listed in Alexandria via LeMat-Bulk.

```
5
Lattice="5.498 0.000 0.000 0.000 5.498 0.000 0.000 0.000 5.498" Properties=species:S:1:pos:R:3 pbc="T T T"
Na 0.000 0.000 0.000
Y 0.000 0.000 2.749
Y 0.000 2.749 0.000
Y 2.749 0.000 0.000
Te 2.749 2.749 2.749
```

Computed properties:
Its formation energy (no corrections) is 0.548 eV/atom. The calculation puts the offset from the most stable computed form at 52.18 kJ per mole of atoms.

=====

Record 3
First-principles (PBE) data for Ac2NdSm after structural relaxation, as listed in Alexandria via LeMat-Bulk.

```
12
Lattice="3.857 0.000 0.000 -1.928 3.340 0.000 0.000 0.000 36.641" Properties=species:S:1:pos:R:3 pbc="T T T"
Ac 0.000 0.000 9.141
Ac 0.000 0.000 27.500
Ac 0.000 2.227 15.287
Ac 0.000 2.227 33.569
Ac 1.928 1.113 3.073
Ac 1.928 1.113 21.355
Nd 0.000 0.000 0.000
Nd 0.000 2.227 24.428
Nd 1.928 1.113 12.214
Sm 0.000 0.000 18.321
Sm 0.000 2.227 6.107
Sm 1.928 1.113 30.535
```

Computed properties:
The calculation puts the offset from the most stable computed form at 0.12 kJ per mole of atoms. The formation enthalpy at 0 K is 0.029 eV/atom.

=====

Record 4
First-principles (PBE) data for TlIn2Sb after structural relaxation, as listed in Alexandria via LeMat-Bulk.

```
4
Lattice="4.996 0.000 0.000 0.000 4.996 0.000 0.000 0.000 4.624" Properties=species:S:1:pos:R:3 pbc="T T T"
Tl 0.000 0.000 0.000
In 0.000 2.498 2.312
In 2.498 0.000 2.312
Sb 2.498 2.498 0.000
```

Computed properties:
Its formation energy (no corrections) is 0.023 eV/atom. The calculation puts the offset from the most stable computed form at 0.28 kJ per mole of atoms.

=====

Record 5
First-principles (PBE) data for KTl2In10 after structural relaxation, as listed in Alexandria via LeMat-Bulk.

```
13
Lattice="0.000 7.660 7.767 3.271 0.000 7.767 3.271 7.660 0.000" Properties=species:S:1:pos:R:3 pbc="T T T"
K 0.000 0.000 0.000
Tl 1.635 3.830 0.000
Tl 1.635 3.830 7.767
In 1.635 0.000 3.883
In 3.271 4.949 2.821
In 3.271 6.036 6.060
In 3.271 10.371 2.821
In 3.271 9.284 6.060
In 1.635 7.660 3.883
In 3.271 6.036 9.474
In 3.271 4.949 12.713
In 3.271 9.284 9.474
In 3.271 10.371 12.713
```

Computed properties:
The formation enthalpy at 0 K is 0.002 eV/atom.

=====

Record 6
First-principles (PBE) data for RbMoPd2 after structural relaxation, as listed in Alexandria via LeMat-Bulk.

```
16
Lattice="7.794 0.000 0.000 0.000 7.794 0.000 0.000 0.000 7.075" Properties=species:S:1:pos:R:3 pbc="T T T"
Rb 0.000 0.000 0.000
Rb 0.000 3.897 1.769
Rb 3.897 0.000 5.306
Rb 3.897 3.897 3.537
Mo 0.000 0.000 3.537
Mo 0.000 3.897 5.306
Mo 3.897 0.000 1.769
Mo 3.897 3.897 0.000
Pd 1.315 1.948 4.422
Pd 1.948 5.212 6.190
Pd 1.948 6.479 2.653
Pd 2.582 1.948 0.884
Pd 5.212 5.845 0.884
Pd 5.845 1.315 2.653
Pd 5.845 2.582 6.190
Pd 6.479 5.845 4.422
```

Computed properties:
The calculation puts the offset from the most stable computed form at 0.00 kJ per mole of atoms. The formation enthalpy at 0 K is 0.953 eV/atom.

=====

Which DOS(E_F) belongs to each record? In order, 0.2242, 1.4755, 1.3323, 0.4085, 0.3972, 1.1266 states/eV per atom.
Which magnetization belongs to each record? In order, 1.05, 0.00, 0.00, 0.00, 0.00, 2.92 μB per formula unit.